[1]
Compound: LiCeZrAl
Source: the Alexandria database
Functional: PBE
Structure: optimized geometry

Computed properties:
**Spin magnetization**: 0.6 μB per formula unit

Lattice parameters (Å, degrees): 7.022 7.022 7.022 90.00 90.00 90.00
Space group F-43m (No. 216)
Unique sites:
Li (0.000, 0.000, 0.000)
Ce (0.250, 0.250, 0.750)
Zr (0.250, 0.250, 0.250)
Al (0.000, 0.000, 0.500)

---

[2]
Compound: Ce2LuAl
Source: the Alexandria database
Functional: PBE
Structure: optimized geometry

Computed properties:
**Spin magnetization**: 0.0 μB per formula unit

Lattice parameters (Å, degrees): 3.1594 3.1594 34.8687 90.00 90.00 120.00
Space group R-3m (No. 166, hexagonal axes)
Unique sites:
Ce (0.0000, 0.0000, 0.0909)
Lu (0.0000, 0.0000, 0.0000)
Al (0.0000, 0.0000, 0.5000)

---

| no. | formation energy from the elements (kJ/mol of formula units) |
| --- | --- |
| 1 | -14 |
| 2 | 39 |